No. 1
Below is crystalline Er3Th2Mg at its relaxed geometry, with properties calculated at the PBE level.

- ρ (g cm⁻³) = 9.122
- uncorrected energy (eV/atom) = -5.040
- ΔH_f (0 K) (kJ/mol of formula units) = -11.0
- SG = P4/mmm

Cell and atoms, written as POSCAR:
```
Er3Th2Mg
1.0
3.5682 0.0000 0.0000
0.0000 3.5682 0.0000
0.0000 0.0000 14.1571
Er Th Mg
3 2 1
Direct
0.0000 0.0000 0.6548 Er
0.0000 0.0000 0.3452 Er
0.0000 0.0000 0.0000 Er
0.5000 0.5000 0.8240 Th
0.5000 0.5000 0.1760 Th
0.5000 0.5000 0.5000 Mg
```

No. 2
Below is crystalline YNpFe4 at its relaxed geometry, with properties calculated at the PBE level.

- ρ (g cm⁻³) = 9.961
- uncorrected energy (eV/atom) = -8.690
- ΔH_f (0 K) (kJ/mol of formula units) = 107.7
- SG = F-43m

Cell and atoms, written as POSCAR:
```
YNpFe4
1.0
5.0593 0.0000 0.0000
2.5296 4.3814 0.0000
2.5296 1.4605 4.1309
Fe Np Y
4 1 1
Direct
0.1276 0.6241 0.6241 Fe
0.6241 0.6241 0.1276 Fe
0.6241 0.6241 0.6241 Fe
0.6241 0.1276 0.6241 Fe
0.2500 0.2500 0.2500 Np
0.0000 0.0000 0.0000 Y
```